# RbVBiS4 | the Alexandria database | PBE-GGA | relaxed
data_RbVBiS4
_cell_length_a 6.668
_cell_length_b 7.022
_cell_length_c 9.086
_cell_angle_alpha 90.00
_cell_angle_beta 108.23
_cell_angle_gamma 90.00
_symmetry_space_group_name_H-M 'P 1 21/m 1'
_symmetry_Int_Tables_number 11
loop_
_symmetry_equiv_pos_as_xyz
'x,y,z'
'-x,-y,-z'
'-x,y+1/2,-z'
'x,-y+1/2,z'
loop_
_atom_site_label
_atom_site_type_symbol
_atom_site_fract_x
_atom_site_fract_y
_atom_site_fract_z
Rb1 Rb 0.218 0.250 0.431
V1 V 0.284 0.750 0.179
Bi1 Bi 0.269 0.250 0.962
S1 S 0.072 0.750 0.322
S2 S 0.075 0.750 0.938
S3 S 0.498 0.504 0.206
# E, eV per atom: -5.106

=====

# TaV2Tc | the Alexandria database | PBE-GGA | relaxed
data_TaV2Tc
_cell_length_a 3.071
_cell_length_b 3.071
_cell_length_c 6.278
_cell_angle_alpha 90.00
_cell_angle_beta 90.00
_cell_angle_gamma 90.00
_symmetry_space_group_name_H-M 'P 4/m m m'
_symmetry_Int_Tables_number 123
_symmetry_space_group_name_Hall '-P 4 2'
loop_
_atom_site_label
_atom_site_type_symbol
_atom_site_fract_x
_atom_site_fract_y
_atom_site_fract_z
Ta1 Ta 0.000 0.000 0.000
V1 V 0.500 0.500 0.263
Tc1 Tc 0.000 0.000 0.500
# Energy above the most stable polymorph in this dataset, meV/atom: 8.4
# E_form, eV per atom: -0.220

=====

# Mo2IrAu | the Alexandria database | PBE-GGA | relaxed
data_Mo2IrAu
_cell_length_a 6.352
_cell_length_b 6.352
_cell_length_c 6.352
_cell_angle_alpha 90.00
_cell_angle_beta 90.00
_cell_angle_gamma 90.00
_symmetry_space_group_name_H-M 'F -4 3 m'
_symmetry_Int_Tables_number 216
_symmetry_space_group_name_Hall 'F -4 2 3'
loop_
_atom_site_label
_atom_site_type_symbol
_atom_site_fract_x
_atom_site_fract_y
_atom_site_fract_z
Mo1 Mo 0.000 0.000 0.000
Mo2 Mo 0.250 0.250 0.250
Ir1 Ir 0.000 0.000 0.500
Au1 Au 0.250 0.250 0.750
# Energy above the most stable polymorph in this dataset, meV/atom: 310.7
# E_form, eV per atom: 0.296

=====

# K2TcSe | the Alexandria database | PBE-GGA | relaxed
data_K2TcSe
_cell_length_a 4.431
_cell_length_b 4.517
_cell_length_c 5.700
_cell_angle_alpha 90.00
_cell_angle_beta 90.41
_cell_angle_gamma 90.00
_symmetry_space_group_name_H-M 'P 1 2/m 1'
_symmetry_Int_Tables_number 10
loop_
_symmetry_equiv_pos_as_xyz
'x,y,z'
'-x,-y,-z'
'-x,y,-z'
'x,-y,z'
loop_
_atom_site_label
_atom_site_type_symbol
_atom_site_fract_x
_atom_site_fract_y
_atom_site_fract_z
K1 K 0.009 0.000 0.257
Tc1 Tc 0.500 0.500 0.000
Se1 Se 0.500 0.500 0.500
# E, eV per atom: -3.516

=====

# CaYGaPb | the Alexandria database | PBE-GGA | relaxed
data_CaYGaPb
_cell_length_a 7.541
_cell_length_b 7.541
_cell_length_c 7.541
_cell_angle_alpha 90.00
_cell_angle_beta 90.00
_cell_angle_gamma 90.00
_symmetry_space_group_name_H-M 'F -4 3 m'
_symmetry_Int_Tables_number 216
_symmetry_space_group_name_Hall 'F -4 2 3'
loop_
_atom_site_label
_atom_site_type_symbol
_atom_site_fract_x
_atom_site_fract_y
_atom_site_fract_z
Ca1 Ca 0.000 0.000 0.000
Y1 Y 0.000 0.000 0.500
Ga1 Ga 0.250 0.250 0.250
Pb1 Pb 0.250 0.250 0.750
# E_form, eV per atom: -0.440

=====

# CaMg2GaRu | the Alexandria database | PBE-GGA | relaxed
data_CaMg2GaRu
_cell_length_a 4.968
_cell_length_b 4.968
_cell_length_c 4.833
_cell_angle_alpha 90.00
_cell_angle_beta 90.00
_cell_angle_gamma 90.00
_symmetry_space_group_name_H-M 'P 4/m m m'
_symmetry_Int_Tables_number 123
_symmetry_space_group_name_Hall '-P 4 2'
loop_
_atom_site_label
_atom_site_type_symbol
_atom_site_fract_x
_atom_site_fract_y
_atom_site_fract_z
Ca1 Ca 0.000 0.000 0.000
Mg1 Mg 0.000 0.500 0.500
Ga1 Ga 0.500 0.500 0.000
Ru1 Ru 0.500 0.500 0.500
# E_form, eV per atom: -0.130

=====

# Tm5InIr4 | the Alexandria database | PBE-GGA | relaxed
data_Tm5InIr4
_cell_length_a 3.438
_cell_length_b 3.438
_cell_length_c 17.397
_cell_angle_alpha 90.00
_cell_angle_beta 90.00
_cell_angle_gamma 90.00
_symmetry_space_group_name_H-M 'P 4/m m m'
_symmetry_Int_Tables_number 123
_symmetry_space_group_name_Hall '-P 4 2'
loop_
_atom_site_label
_atom_site_type_symbol
_atom_site_fract_x
_atom_site_fract_y
_atom_site_fract_z
Tm1 Tm 0.000 0.000 0.000
Tm2 Tm 0.000 0.000 0.190
Tm3 Tm 0.000 0.000 0.378
In1 In 0.500 0.500 0.500
Ir1 Ir 0.500 0.500 0.095
Ir2 Ir 0.500 0.500 0.288
# E_form, eV per atom: -0.826

=====

# TlGaPt | the Alexandria database | PBE-GGA | relaxed
data_TlGaPt
_cell_length_a 11.458
_cell_length_b 11.816
_cell_length_c 7.791
_cell_angle_alpha 90.00
_cell_angle_beta 90.00
_cell_angle_gamma 90.00
_symmetry_space_group_name_H-M 'F d d 2'
_symmetry_Int_Tables_number 43
_symmetry_space_group_name_Hall 'F 2 -2d'
loop_
_atom_site_label
_atom_site_type_symbol
_atom_site_fract_x
_atom_site_fract_y
_atom_site_fract_z
Tl1 Tl 0.089 0.396 0.000
Ga1 Ga 0.004 0.377 0.581
Pt1 Pt 0.066 0.254 0.323
# E_form, eV per atom: -0.286

=====

# Mg6ZnIn12 | the Alexandria database | PBE-GGA | relaxed
data_Mg6ZnIn12
_cell_length_a 10.7030
_cell_length_b 10.7030
_cell_length_c 14.2481
_cell_angle_alpha 90.00
_cell_angle_beta 90.00
_cell_angle_gamma 120.00
_symmetry_space_group_name_H-M 'R -3'
_symmetry_Int_Tables_number 148
_symmetry_space_group_name_Hall '-R 3'
loop_
_atom_site_label
_atom_site_type_symbol
_atom_site_fract_x
_atom_site_fract_y
_atom_site_fract_z
Mg1 Mg 0.0316 0.4355 0.2045
Zn1 Zn 0.0000 0.0000 0.5000
In1 In 0.0288 0.1858 0.3209
In2 In 0.0561 0.8526 0.9063
# E_form, eV per atom: -0.014

=====

# LaPrSbAs | the Alexandria database | PBE-GGA | relaxed
data_LaPrSbAs
_cell_length_a 4.4557
_cell_length_b 4.4557
_cell_length_c 21.9888
_cell_angle_alpha 90.00
_cell_angle_beta 90.00
_cell_angle_gamma 120.00
_symmetry_space_group_name_H-M 'R 3 m'
_symmetry_Int_Tables_number 160
_symmetry_space_group_name_Hall 'R 3 -2"'
loop_
_atom_site_label
_atom_site_type_symbol
_atom_site_fract_x
_atom_site_fract_y
_atom_site_fract_z
La1 La 0.0000 0.0000 0.0000
Pr1 Pr 0.0000 0.0000 0.4898
Sb1 Sb 0.0000 0.0000 0.2439
As1 As 0.0000 0.0000 0.7453
# E, eV per atom: -5.992

=====

# Tb8HoSb6 | the Alexandria database | PBE-GGA | relaxed
data_Tb8HoSb6
_cell_length_a 7.9756
_cell_length_b 7.9756
_cell_length_c 25.2441
_cell_angle_alpha 90.00
_cell_angle_beta 90.00
_cell_angle_gamma 120.00
_symmetry_space_group_name_H-M 'R -3'
_symmetry_Int_Tables_number 148
_symmetry_space_group_name_Hall '-R 3'
loop_
_atom_site_label
_atom_site_type_symbol
_atom_site_fract_x
_atom_site_fract_y
_atom_site_fract_z
Tb1 Tb 0.0000 0.0000 0.1667
Tb2 Tb 0.0006 0.6654 0.3783
Ho1 Ho 0.0000 0.0000 0.5000
Sb1 Sb 0.9995 0.3313 0.4334
# E, eV per atom: -5.190

=====

# CrPtSe2 | the Alexandria database | PBE-GGA | relaxed
data_CrPtSe2
_cell_length_a 6.470
_cell_length_b 6.470
_cell_length_c 6.470
_cell_angle_alpha 90.00
_cell_angle_beta 90.00
_cell_angle_gamma 90.00
_symmetry_space_group_name_H-M 'F m -3 m'
_symmetry_Int_Tables_number 225
_symmetry_space_group_name_Hall '-F 4 2 3'
loop_
_atom_site_label
_atom_site_type_symbol
_atom_site_fract_x
_atom_site_fract_y
_atom_site_fract_z
Cr1 Cr 0.000 0.000 0.000
Pt1 Pt 0.000 0.000 0.500
Se1 Se 0.250 0.250 0.250
# Energy above the most stable polymorph in this dataset, meV/atom: 437.5

=====

# LiNdSmCd | the Alexandria database | PBE-GGA | relaxed
data_LiNdSmCd
_cell_length_a 7.630
_cell_length_b 7.630
_cell_length_c 7.630
_cell_angle_alpha 90.00
_cell_angle_beta 90.00
_cell_angle_gamma 90.00
_symmetry_space_group_name_H-M 'F -4 3 m'
_symmetry_Int_Tables_number 216
_symmetry_space_group_name_Hall 'F -4 2 3'
loop_
_atom_site_label
_atom_site_type_symbol
_atom_site_fract_x
_atom_site_fract_y
_atom_site_fract_z
Li1 Li 0.000 0.000 0.000
Nd1 Nd 0.250 0.250 0.750
Sm1 Sm 0.250 0.250 0.250
Cd1 Cd 0.000 0.000 0.500
# E_form, eV per atom: -0.119

=====

# SmDyInGa | the Alexandria database | PBE-GGA | relaxed
data_SmDyInGa
_cell_length_a 3.662
_cell_length_b 3.662
_cell_length_c 7.585
_cell_angle_alpha 90.00
_cell_angle_beta 90.00
_cell_angle_gamma 90.00
_symmetry_space_group_name_H-M 'P 4 m m'
_symmetry_Int_Tables_number 99
loop_
_symmetry_equiv_pos_as_xyz
'x,y,z'
'-y,x,z'
'-x,-y,z'
'y,-x,z'
'-x,y,z'
'y,x,z'
'x,-y,z'
'-y,-x,z'
loop_
_atom_site_label
_atom_site_type_symbol
_atom_site_fract_x
_atom_site_fract_y
_atom_site_fract_z
Sm1 Sm 0.000 0.000 0.000
Dy1 Dy 0.000 0.000 0.472
In1 In 0.500 0.500 0.729
Ga1 Ga 0.500 0.500 0.244
# Energy above the most stable polymorph in this dataset, meV/atom: 0.0
# E_form, eV per atom: -0.524

=====

# AcCdSnBi | the Alexandria database | PBE-GGA | relaxed
data_AcCdSnBi
_cell_length_a 7.958
_cell_length_b 7.958
_cell_length_c 7.958
_cell_angle_alpha 90.00
_cell_angle_beta 90.00
_cell_angle_gamma 90.00
_symmetry_space_group_name_H-M 'F -4 3 m'
_symmetry_Int_Tables_number 216
_symmetry_space_group_name_Hall 'F -4 2 3'
loop_
_atom_site_label
_atom_site_type_symbol
_atom_site_fract_x
_atom_site_fract_y
_atom_site_fract_z
Ac1 Ac 0.000 0.000 0.000
Cd1 Cd 0.250 0.250 0.250
Sn1 Sn 0.250 0.250 0.750
Bi1 Bi 0.000 0.000 0.500
# Energy above the most stable polymorph in this dataset, meV/atom: 208.5
# E_form, eV per atom: -0.262

=====

# GaPHPtS | the Alexandria database | PBE-GGA | relaxed
data_GaPHPtS
_cell_length_a 6.938
_cell_length_b 4.034
_cell_length_c 6.589
_cell_angle_alpha 90.00
_cell_angle_beta 110.58
_cell_angle_gamma 90.00
_symmetry_space_group_name_H-M 'C 1 m 1'
_symmetry_Int_Tables_number 8
loop_
_symmetry_equiv_pos_as_xyz
'x,y,z'
'x,-y,z'
'x+1/2,y+1/2,z'
'x+1/2,-y+1/2,z'
loop_
_atom_site_label
_atom_site_type_symbol
_atom_site_fract_x
_atom_site_fract_y
_atom_site_fract_z
Ga1 Ga 0.000 0.000 0.000
P1 P 0.128 0.000 0.382
H1 H 0.400 0.000 0.192
Pt1 Pt 0.485 0.000 0.449
S1 S 0.116 0.500 0.848
# Energy above the most stable polymorph in this dataset, meV/atom: 51.8

=====

# Y2Th2Pt3 | the Alexandria database | PBE-GGA | relaxed
data_Y2Th2Pt3
_cell_length_a 17.720
_cell_length_b 4.132
_cell_length_c 12.852
_cell_angle_alpha 90.00
_cell_angle_beta 128.35
_cell_angle_gamma 90.00
_symmetry_space_group_name_H-M 'C 1 2/m 1'
_symmetry_Int_Tables_number 12
loop_
_symmetry_equiv_pos_as_xyz
'x,y,z'
'-x,-y,-z'
'-x,y,-z'
'x,-y,z'
'x+1/2,y+1/2,z'
'-x+1/2,-y+1/2,-z'
'-x+1/2,y+1/2,-z'
'x+1/2,-y+1/2,z'
loop_
_atom_site_label
_atom_site_type_symbol
_atom_site_fract_x
_atom_site_fract_y
_atom_site_fract_z
Y1 Y 0.018 0.000 0.352
Y2 Y 0.202 0.500 0.782
Th1 Th 0.082 0.500 0.951
Th2 Th 0.198 0.500 0.337
Pt1 Pt 0.080 0.000 0.143
Pt2 Pt 0.150 0.500 0.517
Pt3 Pt 0.180 0.000 0.908
# E_form, eV per atom: -1.015

=====

# TaPdS2 | the Alexandria database | PBE-GGA | relaxed
data_TaPdS2
_cell_length_a 5.630
_cell_length_b 5.630
_cell_length_c 10.462
_cell_angle_alpha 90.00
_cell_angle_beta 90.00
_cell_angle_gamma 90.00
_symmetry_space_group_name_H-M 'I -4 2 d'
_symmetry_Int_Tables_number 122
_symmetry_space_group_name_Hall 'I -4 2bw'
loop_
_atom_site_label
_atom_site_type_symbol
_atom_site_fract_x
_atom_site_fract_y
_atom_site_fract_z
Ta1 Ta 0.000 0.000 0.000
Pd1 Pd 0.000 0.000 0.500
S1 S 0.241 0.250 0.125
# Energy above the most stable polymorph in this dataset, meV/atom: 306.8

=====

# EuAlGa2 | the Alexandria database | PBE-GGA | relaxed
data_EuAlGa2
_cell_length_a 4.3775
_cell_length_b 4.3775
_cell_length_c 16.1862
_cell_angle_alpha 90.00
_cell_angle_beta 90.00
_cell_angle_gamma 120.00
_symmetry_space_group_name_H-M 'R -3 m'
_symmetry_Int_Tables_number 166
_symmetry_space_group_name_Hall '-R 3 2"'
loop_
_atom_site_label
_atom_site_type_symbol
_atom_site_fract_x
_atom_site_fract_y
_atom_site_fract_z
Eu1 Eu 0.0000 0.0000 0.0000
Al1 Al 0.0000 0.0000 0.5000
Ga1 Ga 0.0000 0.0000 0.2205
# E_form, eV per atom: -0.373

=====

# FeNiW2 | the Alexandria database | PBE-GGA | relaxed
data_FeNiW2
_cell_length_a 6.055
_cell_length_b 6.055
_cell_length_c 6.055
_cell_angle_alpha 90.00
_cell_angle_beta 90.00
_cell_angle_gamma 90.00
_symmetry_space_group_name_H-M 'F -4 3 m'
_symmetry_Int_Tables_number 216
_symmetry_space_group_name_Hall 'F -4 2 3'
loop_
_atom_site_label
_atom_site_type_symbol
_atom_site_fract_x
_atom_site_fract_y
_atom_site_fract_z
Fe1 Fe 0.000 0.000 0.000
Ni1 Ni 0.250 0.250 0.750
W1 W 0.000 0.000 0.500
W2 W 0.250 0.250 0.250
# Energy above the most stable polymorph in this dataset, meV/atom: 213.2
# E_form, eV per atom: 0.289